Record 1
Entry from Alexandria: crystalline Ac6CoNiAu2 at its relaxed geometry (PBE-GGA).

Lattice parameters (Å, degrees): 8.066 8.066 8.066 57.62 57.62 57.62
Sites, in units of the cell vectors:
Ac (0.053, 0.282, 0.665)
Ac (0.155, 0.791, 0.558)
Ac (0.282, 0.665, 0.053)
Ac (0.558, 0.155, 0.791)
Ac (0.665, 0.053, 0.282)
Ac (0.791, 0.558, 0.155)
Co (0.923, 0.923, 0.923)
Ni (0.422, 0.422, 0.422)
Au (0.225, 0.225, 0.225)
Au (0.723, 0.723, 0.723)

Properties
Total DFT energy (no corrections) = -4.75 eV/atom
SG = R3, No. 146
Formation energy = -337 meV/atom

Record 2
Entry from Alexandria: crystalline LiCd2In3 at its relaxed geometry (PBE-GGA).

Lattice parameters (Å, degrees): 7.172 7.172 4.470 90.00 90.00 142.67
Sites, in units of the cell vectors:
Li (0.000, 0.000, 0.000)
Cd (0.336, 0.664, 0.000)
Cd (0.664, 0.336, 0.000)
In (0.164, 0.836, 0.500)
In (0.500, 0.500, 0.500)
In (0.836, 0.164, 0.500)

Properties
Total DFT energy (no corrections) = -2.07 eV/atom
SG = Cmmm, No. 65
Formation energy = -81 meV/atom
Distance to the lowest polymorph of the same formula = 0 meV per atom

Record 3
Entry from Alexandria: crystalline Zr2IrAu at its relaxed geometry (PBE-GGA).

Lattice parameters (Å, degrees): 6.072 6.072 6.072 102.90 102.90 123.61
Sites, in units of the cell vectors:
Zr (0.095, 0.625, 0.970)
Zr (0.375, 0.345, 0.470)
Zr (0.655, 0.125, 0.030)
Zr (0.875, 0.905, 0.530)
Ir (0.000, 0.000, 0.000)
Ir (0.750, 0.250, 0.500)
Au (0.250, 0.750, 0.500)
Au (0.500, 0.500, 0.000)

Properties
Total DFT energy (no corrections) = -7.55 eV/atom
SG = I-42d, No. 122
Formation energy = -237 meV/atom

Record 4
Entry from Alexandria: crystalline GaPbIO6 at its relaxed geometry (PBE-GGA).

Lattice parameters (Å, degrees): 5.227 5.227 5.474 90.00 90.00 120.00
Sites, in units of the cell vectors:
Ga (0.000, 0.000, 0.000)
Pb (0.667, 0.333, 0.500)
I (0.333, 0.667, 0.000)
O (0.053, 0.347, 0.200)
O (0.053, 0.706, 0.800)
O (0.294, 0.347, 0.800)
O (0.294, 0.947, 0.200)
O (0.653, 0.706, 0.200)
O (0.653, 0.947, 0.800)

Properties
Raw formation energy = -972 meV/atom
Total DFT energy (no corrections) = -5.20 eV/atom
SG = P312, No. 149

Record 5
Entry from Alexandria: crystalline FeTeP2 at its relaxed geometry (PBE-GGA).

Lattice parameters (Å, degrees): 4.640 4.640 3.183 90.00 90.00 90.00
Sites, in units of the cell vectors:
Fe (0.000, 0.000, 0.000)
Te (0.500, 0.500, 0.000)
P (0.000, 0.500, 0.500)
P (0.500, 0.000, 0.500)

Properties
Raw formation energy = 755 meV/atom
Total DFT energy (no corrections) = -4.85 eV/atom
SG = P4/mmm, No. 123

Record 6
Entry from Alexandria: crystalline ReW2Cl at its relaxed geometry (PBE-GGA).

Lattice parameters (Å, degrees): 5.184 5.184 4.485 91.89 91.89 33.24
Sites, in units of the cell vectors:
Re (0.000, 0.000, 0.000)
W (0.271, 0.271, 0.827)
W (0.571, 0.571, 0.547)
Cl (0.779, 0.779, 0.250)

Properties
Raw formation energy = 776 meV/atom
Total DFT energy (no corrections) = -9.27 eV/atom
SG = Cm, No. 8
Distance to the lowest polymorph of the same formula = 374 meV per atom

Asked for total magnetization across the records above, the calculation gives 0.0, 0.0, 0.0, 0.0, 2.7, 0.0 Bohr magnetons per cell in order.